Below is a relaxed structure of KLa2Be, with properties calculated at the PBE level.

**Energy of formation from the pure elements**: 0.6466 eV/atom
**ρ**: 3.956 g cm⁻³

a b c (Å): 7.169 7.169 7.169
angles (deg): 103.67 103.67 121.82
Fractional positions:
K (0.000, 0.000, 0.000)
K (0.750, 0.250, 0.500)
La (0.188, 0.625, 0.063)
La (0.375, 0.438, 0.563)
La (0.562, 0.125, 0.937)
La (0.875, 0.812, 0.437)
Be (0.250, 0.750, 0.500)
Be (0.500, 0.500, 0.000)